LaNd3Mn4O12 | PBE+U | relaxed

Cell lengths 5.504, 7.696, 5.920 Å; angles 90.00, 90.02, 90.00 degrees
Fractional coordinates of all 20 atoms:
La: 0.000 0.000 0.000
Nd: 0.472 0.000 0.505
Nd: 0.502 0.500 0.363
Nd: 0.970 0.500 0.861
Mn: 0.486 0.251 0.934
Mn: 0.486 0.749 0.934
Mn: 0.987 0.251 0.434
Mn: 0.987 0.749 0.434
O: 0.083 0.500 0.461
O: 0.201 0.205 0.748
O: 0.201 0.795 0.748
O: 0.277 0.204 0.254
O: 0.277 0.796 0.254
O: 0.388 0.500 0.962
O: 0.575 0.000 0.908
O: 0.700 0.298 0.618
O: 0.700 0.702 0.618
O: 0.773 0.300 0.117
O: 0.773 0.700 0.117
O: 0.891 0.000 0.411

Output
Volume, Å³/atom: 12.5
Mass density, g/cm3: 6.5
Total DFT energy (no corrections), eV/atom: -7.986